This record from Alexandria via LeMat-Bulk describes a relaxed structure of Sb4Ru. The functional is PBE-GGA.

Computed properties:
E, eV per atom: -4.780
Energy relative to the lowest polymorph listed for this composition, meV per atom: 428
Formation energy without anion corrections, eV/f.u.: 1.9

Cell lengths 5.143, 5.143, 5.143 Å; angles 90.00, 90.00, 90.00 degrees
Positions (direct):
Sb 0.500 0.000 0.500
Sb 0.000 0.000 0.000
Sb 0.000 0.500 0.500
Sb 0.500 0.500 0.000
Ru 0.500 0.500 0.500

---

This record from Alexandria via LeMat-Bulk describes a relaxed structure of Ca3Ag5. The functional is PBE-GGA.

Computed properties:
E, eV per atom: -2.814
Energy relative to the lowest polymorph listed for this composition, meV per atom: 0
Formation energy from the elements, eV per atom: -0.282

Cell lengths 4.200, 7.340, 7.340 Å; angles 120.00, 90.00, 90.00 degrees
Positions (direct):
Ag 0.000 0.333 0.667
Ag 0.000 0.000 0.233
Ag 0.000 0.233 0.000
Ag 0.000 0.667 0.333
Ag 0.000 0.767 0.767
Ca 0.500 0.624 0.000
Ca 0.500 0.376 0.376
Ca 0.500 0.000 0.624

---

This record from Alexandria via LeMat-Bulk describes a relaxed structure of InPt2Rh. The functional is PBE-GGA.

Computed properties:
E, eV per atom: -5.792
Formation energy from the elements, eV per atom: -0.249

Cell lengths 4.853, 4.853, 2.913 Å; angles 90.00, 90.00, 108.61 degrees
Positions (direct):
Rh 0.500 0.000 0.500
In 0.000 0.500 0.500
Pt 0.500 0.500 0.000
Pt 0.000 0.000 0.000

---

This record from Alexandria via LeMat-Bulk describes a relaxed structure of SrS3N. The functional is PBE-GGA.

Computed properties:
E, eV per atom: -3.186
Energy relative to the lowest polymorph listed for this composition, meV per atom: 1150
Formation energy without anion corrections, eV/f.u.: 6.5

Cell lengths 5.830, 5.830, 5.830 Å; angles 90.00, 90.00, 90.00 degrees
Last column: magnetic moment on the atom in μB.
Positions (direct):
S 0.500 0.000 0.000  0.72
S 0.000 0.500 0.000  0.79
S 0.000 0.000 0.500  0.88
N 0.500 0.500 0.500  1.93
Sr 0.000 0.000 0.000  -0.02

---

This record from Alexandria via LeMat-Bulk describes a relaxed structure of TaSiP2. The functional is PBE-GGA.

Computed properties:
E, eV per atom: -7.097
Formation energy without anion corrections, eV/f.u.: -0.3

Cell lengths 4.838, 4.838, 4.838 Å; angles 141.08, 125.49, 68.99 degrees
Positions (direct):
Ta 0.250 0.750 0.500
Si 0.530 0.530 0.000
P 0.745 0.245 0.500
P 0.975 0.975 0.000

---

This record from Alexandria via LeMat-Bulk describes a relaxed structure of BaBiIr. The functional is PBE-GGA.

Computed properties:
E, eV per atom: -5.203
Formation energy from the elements, eV per atom: -0.315

Cell lengths 5.074, 5.255, 15.201 Å; angles 90.00, 104.15, 90.00 degrees
Positions (direct):
Ir 0.500 0.500 0.000
Ir 0.500 0.000 0.500
Ir 0.000 0.000 0.500
Ir 0.000 0.500 0.000
Bi 0.116 0.500 0.829
Bi 0.884 0.000 0.671
Bi 0.884 0.500 0.171
Bi 0.116 0.000 0.329
Ba 0.348 0.000 0.116
Ba 0.348 0.500 0.616
Ba 0.652 0.500 0.384
Ba 0.652 0.000 0.884

---

This record from Alexandria via LeMat-Bulk describes a relaxed structure of Ca2TaTl. The functional is PBE-GGA.

Computed properties:
E, eV per atom: -3.762
Energy relative to the lowest polymorph listed for this composition, meV per atom: 449
Formation energy from the elements, eV per atom: 0.794

Cell lengths 8.518, 8.518, 6.768 Å; angles 51.01, 51.01, 90.00 degrees
Last column: magnetic moment on the atom in μB.
Positions (direct):
Ta 0.250 0.750 0.500  1.16
Ta 0.500 0.500 0.000  1.18
Ca 0.375 0.366 0.750  0.05
Ca 0.116 0.625 0.250  0.05
Ca 0.875 0.884 0.750  0.05
Ca 0.634 0.125 0.250  0.05
Tl 0.750 0.250 0.500  -0.03
Tl 0.000 0.000 0.000  -0.03

---

This record from Alexandria via LeMat-Bulk describes a relaxed structure of FeNiTeI2. The functional is PBE-GGA.

Computed properties:
E, eV per atom: -3.180
Energy relative to the lowest polymorph listed for this composition, meV per atom: 179
Formation energy without anion corrections, eV/f.u.: 4.6

Cell lengths 5.428, 5.428, 4.734 Å; angles 90.00, 90.00, 90.00 degrees
Last column: magnetic moment on the atom in μB.
Positions (direct):
I 0.500 0.000 0.000  -0.03
I 0.000 0.500 0.000  -0.03
Te 0.000 0.000 0.500  -0.01
Ni 0.500 0.500 0.500  -0.89
Fe 0.000 0.000 0.000  0.01

---

Q: Look up the E of the third one.
A: -5.792 eV per atom

---

Q: Which of these has the lowest E?
A: TaSiP2